(1)
A plane-wave DFT calculation with PBE was carried out for an optimized crystal structure of DyInHg2.

a = 4.6491 Å, b = 4.6491 Å, c = 4.5015 Å
α = 90.00°, β = 90.00°, γ = 90.00°
Positions (direct):
Dy (0.0000, 0.0000, 0.0000)
In (0.5000, 0.5000, 0.0000)
Hg (0.0000, 0.5000, 0.5000)
Hg (0.5000, 0.0000, 0.5000)

The energy of formation from the pure elements comes out at -0.3444 eV/atom. For the total moment, the calculation gives 0.00 μB/f.u. Its space-group type is No. 123. The calculation puts the density of states at the Fermi level at 3.312 states/eV per cell.

(2)
A plane-wave DFT calculation with PBE was carried out for an optimized crystal structure of Ba2AgRu.

a = 3.7615 Å, b = 3.7820 Å, c = 8.5798 Å
α = 90.00°, β = 90.00°, γ = 90.00°
Positions (direct):
Ba (0.0000, 0.0000, 0.2231)
Ba (0.0000, 0.0000, 0.7769)
Ag (0.5000, 0.5000, 0.5000)
Ru (0.5000, 0.5000, 0.0000)

The energy of formation from the pure elements comes out at 0.3085 eV/atom. For the energy above the most stable polymorph in this dataset, the calculation gives 5.3 kJ per mole of atoms. For the total moment, the calculation gives 0.34 μB/f.u. Its space-group type is No. 47. The calculation puts the density of states at the Fermi level at 5.285 states/eV per cell.

(3)
A plane-wave DFT calculation with PBE was carried out for an optimized crystal structure of LaTmPt.

a = 4.9671 Å, b = 4.9671 Å, c = 4.9671 Å
α = 60.00°, β = 60.00°, γ = 60.00°
Positions (direct):
La (0.0000, 0.0000, 0.0000)
Tm (0.5000, 0.5000, 0.5000)
Pt (0.2500, 0.2500, 0.2500)

The energy of formation from the pure elements comes out at -0.7959 eV/atom. For the energy above the most stable polymorph in this dataset, the calculation gives 13.2 kJ per mole of atoms. For the total moment, the calculation gives 0.00 μB/f.u. Its space-group type is No. 216. The calculation puts the density of states at the Fermi level at 2.226 states/eV per cell.

(4)
A plane-wave DFT calculation with PBE was carried out for an optimized crystal structure of CaTe2Pt.

a = 5.0005 Å, b = 5.0005 Å, c = 3.7589 Å
α = 90.00°, β = 90.00°, γ = 90.00°
Positions (direct):
Ca (0.0000, 0.0000, 0.0000)
Te (0.0000, 0.5000, 0.5000)
Te (0.5000, 0.0000, 0.5000)
Pt (0.5000, 0.5000, 0.0000)

For the energy above the most stable polymorph in this dataset, the calculation gives 29.9 kJ per mole of atoms. The calculation puts the raw formation energy at -2.194 eV per formula unit. For the total moment, the calculation gives 0.00 μB/f.u. Its space-group type is No. 123. The calculation puts the density of states at the Fermi level at 2.234 states/eV per cell.

(5)
A plane-wave DFT calculation with PBE was carried out for an optimized crystal structure of HfGaNi14.

a = 5.0842 Å, b = 5.0842 Å, c = 7.1660 Å
α = 90.00°, β = 90.00°, γ = 90.00°
Positions (direct):
Hf (0.0000, 0.0000, 0.0000)
Ga (0.5000, 0.5000, 0.0000)
Ni (0.0000, 0.0000, 0.5000)
Ni (0.0000, 0.5000, 0.0000)
Ni (0.0000, 0.5000, 0.5000)
Ni (0.2535, 0.2535, 0.2609)
Ni (0.2535, 0.2535, 0.7391)
Ni (0.2535, 0.7465, 0.2609)
Ni (0.2535, 0.7465, 0.7391)
Ni (0.5000, 0.0000, 0.0000)
Ni (0.5000, 0.0000, 0.5000)
Ni (0.5000, 0.5000, 0.5000)
Ni (0.7465, 0.2535, 0.2609)
Ni (0.7465, 0.2535, 0.7391)
Ni (0.7465, 0.7465, 0.2609)
Ni (0.7465, 0.7465, 0.7391)

The energy of formation from the pure elements comes out at -0.1535 eV/atom. For the total moment, the calculation gives 5.72 μB/f.u. Its space-group type is No. 123. The calculation puts the density of states at the Fermi level at 25.787 states/eV per cell.

(6)
A plane-wave DFT calculation with PBE was carried out for an optimized crystal structure of La2BiCl2.

a = 9.6777 Å, b = 9.6777 Å, c = 7.7687 Å
α = 97.14°, β = 97.14°, γ = 26.98°
Positions (direct):
La (0.1323, 0.1323, 0.4578)
La (0.1484, 0.1484, 0.9699)
La (0.8516, 0.8516, 0.0301)
La (0.8677, 0.8677, 0.5422)
Bi (0.2867, 0.2867, 0.2778)
Bi (0.7133, 0.7133, 0.7222)
Cl (0.0240, 0.0240, 0.7141)
Cl (0.3916, 0.3916, 0.8076)
Cl (0.6084, 0.6084, 0.1924)
Cl (0.9760, 0.9760, 0.2859)

The calculation puts the raw formation energy at -8.101 eV per formula unit. For the total moment, the calculation gives 0.00 μB/f.u. Its space-group type is No. 12. The calculation puts the density of states at the Fermi level at 4.900 states/eV per cell.

(7)
A plane-wave DFT calculation with PBE was carried out for an optimized crystal structure of Nd2CuSb4Ir3.

a = 4.5772 Å, b = 4.5772 Å, c = 10.4897 Å
α = 90.00°, β = 90.00°, γ = 90.00°
Positions (direct):
Nd (0.0000, 0.5000, 0.2416)
Nd (0.5000, 0.0000, 0.7584)
Cu (0.5000, 0.5000, 0.0000)
Sb (0.0000, 0.0000, 0.5000)
Sb (0.0000, 0.5000, 0.8704)
Sb (0.5000, 0.0000, 0.1296)
Sb (0.5000, 0.5000, 0.5000)
Ir (0.0000, 0.0000, 0.0000)
Ir (0.0000, 0.5000, 0.6230)
Ir (0.5000, 0.0000, 0.3770)

The calculation puts the raw formation energy at -5.662 eV per formula unit. For the total moment, the calculation gives 0.00 μB/f.u. Its space-group type is No. 115. The calculation puts the density of states at the Fermi level at 4.265 states/eV per cell.

(8)
A plane-wave DFT calculation with PBE was carried out for an optimized crystal structure of CsLaAsBr2.

a = 6.0055 Å, b = 6.0055 Å, c = 5.7827 Å
α = 90.00°, β = 90.00°, γ = 90.00°
Positions (direct):
Cs (0.0000, 0.0000, 0.0000)
La (0.5000, 0.5000, 0.5000)
As (0.5000, 0.5000, 0.0000)
Br (0.0000, 0.5000, 0.5000)
Br (0.5000, 0.0000, 0.5000)

The calculation puts the raw formation energy at -6.553 eV per formula unit. For the total moment, the calculation gives 0.70 μB/f.u. Its space-group type is No. 123. The calculation puts the density of states at the Fermi level at 4.897 states/eV per cell.

(9)
A plane-wave DFT calculation with PBE was carried out for an optimized crystal structure of PmLuSiRu.

a = 4.9089 Å, b = 4.9089 Å, c = 4.9089 Å
α = 60.00°, β = 60.00°, γ = 60.00°
Positions (direct):
Pm (0.0000, 0.0000, 0.0000)
Lu (0.5000, 0.5000, 0.5000)
Si (0.2500, 0.2500, 0.2500)
Ru (0.7500, 0.7500, 0.7500)

The calculation puts the raw formation energy at -1.455 eV per formula unit. For the total moment, the calculation gives 0.00 μB/f.u. Its space-group type is No. 216. The calculation puts the density of states at the Fermi level at 2.383 states/eV per cell.

(10)
A plane-wave DFT calculation with PBE was carried out for an optimized crystal structure of LiScH2Pt.

a = 3.8022 Å, b = 3.8022 Å, c = 5.0484 Å
α = 90.00°, β = 90.00°, γ = 90.00°
Positions (direct):
Li (0.0000, 0.0000, 0.0000)
Sc (0.5000, 0.5000, 0.0000)
H (0.0000, 0.5000, 0.5000)
H (0.5000, 0.0000, 0.5000)
Pt (0.5000, 0.5000, 0.5000)

For the total moment, the calculation gives 0.19 μB/f.u. Its space-group type is No. 123. The calculation puts the density of states at the Fermi level at 1.928 states/eV per cell. The uncorrected energy comes out at -3.983 eV per atom.

(11)
A plane-wave DFT calculation with PBE was carried out for an optimized crystal structure of Mo3Os.

a = 4.8194 Å, b = 4.8194 Å, c = 2.8185 Å
α = 90.00°, β = 90.00°, γ = 108.18°
Positions (direct):
Mo (0.0000, 0.0000, 0.0000)
Mo (0.0000, 0.5000, 0.5000)
Mo (0.5000, 0.0000, 0.5000)
Os (0.5000, 0.5000, 0.0000)

The energy of formation from the pure elements comes out at 0.2248 eV/atom. For the energy above the most stable polymorph in this dataset, the calculation gives 21.6 kJ per mole of atoms. For the total moment, the calculation gives 0.00 μB/f.u. Its space-group type is No. 65. The calculation puts the density of states at the Fermi level at 4.304 states/eV per cell.

(12)
A plane-wave DFT calculation with PBE was carried out for an optimized crystal structure of B5Ir4Pt2.

a = 8.5243 Å, b = 7.3375 Å, c = 5.1418 Å
α = 84.21°, β = 58.91°, γ = 36.88°
Positions (direct):
B (0.0000, 0.0000, 0.0000)
B (0.0000, 0.5000, 0.0000)
B (0.2500, 0.2500, 0.2500)
B (0.5000, 0.0000, 0.5000)
B (0.7500, 0.7500, 0.7500)
Ir (0.0047, 0.2796, 0.7204)
Ir (0.2796, 0.0047, 0.9953)
Ir (0.7204, 0.9953, 0.0047)
Ir (0.9953, 0.7204, 0.2796)
Pt (0.3601, 0.6399, 0.3601)
Pt (0.6399, 0.3601, 0.6399)

The energy of formation from the pure elements comes out at 0.1275 eV/atom. For the total moment, the calculation gives 0.00 μB/f.u. Its space-group type is No. 69. The calculation puts the density of states at the Fermi level at 7.323 states/eV per cell.

(13)
A plane-wave DFT calculation with PBE was carried out for an optimized crystal structure of Pu2Ga3AgPt4.

a = 4.0633 Å, b = 4.0633 Å, c = 11.7090 Å
α = 90.00°, β = 90.00°, γ = 90.00°
Positions (direct):
Pu (0.0000, 0.5000, 0.2461)
Pu (0.5000, 0.0000, 0.7539)
Ga (0.0000, 0.0000, 0.0000)
Ga (0.0000, 0.5000, 0.6282)
Ga (0.5000, 0.0000, 0.3718)
Ag (0.5000, 0.5000, 0.0000)
Pt (0.0000, 0.0000, 0.5000)
Pt (0.0000, 0.5000, 0.8392)
Pt (0.5000, 0.0000, 0.1608)
Pt (0.5000, 0.5000, 0.5000)

The energy of formation from the pure elements comes out at -0.6553 eV/atom. For the total moment, the calculation gives 10.73 μB/f.u. Its space-group type is No. 115. The calculation puts the density of states at the Fermi level at 25.094 states/eV per cell.

(14)
A plane-wave DFT calculation with PBE was carried out for an optimized crystal structure of Ni4AgCl8.

a = 7.6398 Å, b = 7.6398 Å, c = 7.6398 Å
α = 54.90°, β = 54.90°, γ = 54.90°
Positions (direct):
Ni (0.0000, 0.0000, 0.0000)
Ni (0.0000, 0.5000, 0.5000)
Ni (0.5000, 0.0000, 0.5000)
Ni (0.5000, 0.5000, 0.0000)
Ag (0.5000, 0.5000, 0.5000)
Cl (0.2357, 0.2357, 0.7360)
Cl (0.2357, 0.7360, 0.2357)
Cl (0.2640, 0.7643, 0.7643)
Cl (0.2679, 0.2679, 0.2679)
Cl (0.7321, 0.7321, 0.7321)
Cl (0.7360, 0.2357, 0.2357)
Cl (0.7643, 0.2640, 0.7643)
Cl (0.7643, 0.7643, 0.2640)

The calculation puts the raw formation energy at -6.290 eV per formula unit. For the total moment, the calculation gives 7.00 μB/f.u. Its space-group type is No. 166. The calculation puts the density of states at the Fermi level at 7.410 states/eV per cell.

(15)
A plane-wave DFT calculation with PBE was carried out for an optimized crystal structure of Ag2HgBi.

a = 3.3737 Å, b = 3.3737 Å, c = 9.6878 Å
α = 101.08°, β = 101.08°, γ = 60.01°
Positions (direct):
Ag (0.0000, 0.0000, 0.0000)
Ag (0.1704, 0.1704, 0.5273)
Hg (0.5860, 0.5860, 0.7634)
Bi (0.7569, 0.7569, 0.2632)

The energy of formation from the pure elements comes out at 0.1489 eV/atom. For the energy above the most stable polymorph in this dataset, the calculation gives 5.0 kJ per mole of atoms. For the total moment, the calculation gives 0.00 μB/f.u. Its space-group type is No. 8. The calculation puts the density of states at the Fermi level at 1.556 states/eV per cell.

(16)
A plane-wave DFT calculation with PBE was carried out for an optimized crystal structure of CoAgMo2.

a = 5.1595 Å, b = 5.1595 Å, c = 5.1595 Å
α = 143.66°, β = 132.01°, γ = 61.65°
Positions (direct):
Co (0.0000, 0.0000, 0.0000)
Ag (0.5000, 0.5000, 0.0000)
Mo (0.2344, 0.7344, 0.5000)
Mo (0.7656, 0.2656, 0.5000)

The energy of formation from the pure elements comes out at 0.4347 eV/atom. For the energy above the most stable polymorph in this dataset, the calculation gives 14.1 kJ per mole of atoms. For the total moment, the calculation gives 1.41 μB/f.u. Its space-group type is No. 71. The calculation puts the density of states at the Fermi level at 4.238 states/eV per cell.

(17)
A plane-wave DFT calculation with PBE was carried out for an optimized crystal structure of Li2MnBe.

a = 4.3900 Å, b = 2.2660 Å, c = 4.8467 Å
α = 90.00°, β = 112.12°, γ = 90.00°
Positions (direct):
Li (0.0000, 0.0000, 0.0000)
Li (0.5000, 0.5000, 0.0000)
Mn (0.0000, 0.5000, 0.5000)
Be (0.5000, 0.0000, 0.5000)

The energy of formation from the pure elements comes out at 0.2898 eV/atom. For the total moment, the calculation gives 0.82 μB/f.u. Its space-group type is No. 10. The calculation puts the density of states at the Fermi level at 1.523 states/eV per cell.

(18)
A plane-wave DFT calculation with PBE was carried out for an optimized crystal structure of CuSnPd2.

a = 7.9907 Å, b = 7.9907 Å, c = 3.9887 Å
α = 90.00°, β = 90.00°, γ = 90.00°
Positions (direct):
Cu (0.0000, 0.2440, 0.0000)
Cu (0.0000, 0.7560, 0.0000)
Cu (0.2440, 0.0000, 0.0000)
Cu (0.7560, 0.0000, 0.0000)
Sn (0.0000, 0.0000, 0.5000)
Sn (0.0000, 0.5000, 0.5000)
Sn (0.5000, 0.0000, 0.5000)
Sn (0.5000, 0.5000, 0.5000)
Pd (0.2389, 0.2389, 0.5000)
Pd (0.2389, 0.7611, 0.5000)
Pd (0.2405, 0.5000, 0.0000)
Pd (0.5000, 0.2405, 0.0000)
Pd (0.5000, 0.7595, 0.0000)
Pd (0.7595, 0.5000, 0.0000)
Pd (0.7611, 0.2389, 0.5000)
Pd (0.7611, 0.7611, 0.5000)

The energy of formation from the pure elements comes out at -0.3494 eV/atom. For the total moment, the calculation gives 0.00 μB/f.u. Its space-group type is No. 123. The calculation puts the density of states at the Fermi level at 8.050 states/eV per cell.

(19)
A plane-wave DFT calculation with PBE was carried out for an optimized crystal structure of MnIn2Au.

a = 9.0554 Å, b = 9.0554 Å, c = 9.0554 Å
α = 20.78°, β = 20.78°, γ = 20.78°
Positions (direct):
Mn (0.0000, 0.0000, 0.0000)
In (0.2507, 0.2507, 0.2507)
In (0.7493, 0.7493, 0.7493)
Au (0.5000, 0.5000, 0.5000)

The energy of formation from the pure elements comes out at 0.1535 eV/atom. For the energy above the most stable polymorph in this dataset, the calculation gives 11.6 kJ per mole of atoms. For the total moment, the calculation gives 3.95 μB/f.u. Its space-group type is No. 166. The calculation puts the density of states at the Fermi level at 3.482 states/eV per cell.

(20)
A plane-wave DFT calculation with PBE was carried out for an optimized crystal structure of Sr3Ta.

a = 5.9671 Å, b = 5.9671 Å, c = 5.9671 Å
α = 60.00°, β = 60.00°, γ = 60.00°
Positions (direct):
Sr (0.0000, 0.0000, 0.0000)
Sr (0.2500, 0.2500, 0.2500)
Sr (0.7500, 0.7500, 0.7500)
Ta (0.5000, 0.5000, 0.5000)

The energy of formation from the pure elements comes out at 0.9153 eV/atom. For the energy above the most stable polymorph in this dataset, the calculation gives 41.9 kJ per mole of atoms. For the total moment, the calculation gives 2.95 μB/f.u. Its space-group type is No. 225. The calculation puts the density of states at the Fermi level at 5.395 states/eV per cell.